Entry 1:
The following is a PBE-GGA calculation of crystalline NdTmZnPb at its relaxed geometry, from Alexandria.

ΔE_f   -0.36 eV/atom
Volume   105 Å³/cell
Total DFT energy (no corrections)   -3.914 eV/atom

abc: 5.295 5.295 5.295
angles: 60.00 60.00 60.00
Sites, in units of the cell vectors:
Tm  0.250  0.250  0.250
Pb  0.000  0.000  0.000
Nd  0.750  0.750  0.750
Zn  0.500  0.500  0.500

=====

Entry 2:
The following is a PBE-GGA calculation of crystalline Nd2VPb at its relaxed geometry, from Alexandria.

ΔE_f   0.49 eV/atom
Volume   115 Å³/cell
Total DFT energy (no corrections)   -5.101 eV/atom

abc: 3.406 3.406 11.647
angles: 81.59 81.59 60.00
Sites, in units of the cell vectors:
V  0.000  0.000  0.000
Nd  0.084  0.084  0.748
Nd  0.916  0.916  0.252
Pb  0.500  0.500  0.500

=====

Entry 3:
The following is a PBE-GGA calculation of crystalline NdYPb2 at its relaxed geometry, from Alexandria.

ΔE_f   -0.48 eV/atom
Volume   117 Å³/cell
Total DFT energy (no corrections)   -5.145 eV/atom

abc: 4.529 5.086 5.086
angles: 90.00 90.00 90.00
Sites, in units of the cell vectors:
Nd  0.500  0.000  0.000
Pb  0.000  0.000  0.500
Pb  0.000  0.500  0.000
Y  0.500  0.500  0.500

=====

Entry 4:
The following is a PBE-GGA calculation of crystalline Nd3Y2Pb4 at its relaxed geometry, from Alexandria.

ΔE_f   -0.49 eV/atom
Volume   284 Å³/cell
Total DFT energy (no corrections)   -5.161 eV/atom

abc: 5.126 6.915 8.696
angles: 104.44 107.14 90.00
Sites, in units of the cell vectors:
Nd  0.882  0.421  0.764
Nd  0.000  0.000  0.000
Nd  0.118  0.579  0.236
Pb  0.494  0.716  0.988
Pb  0.755  0.715  0.510
Pb  0.506  0.284  0.012
Pb  0.245  0.285  0.490
Y  0.667  0.076  0.333
Y  0.333  0.924  0.667